Entry A
DFT (GGA-PBE) results for a geometry-optimized NiOs3N structure.

**Magnetization**: 2.89 μB/f.u.

a = 4.410 Å, b = 4.410 Å, c = 4.410 Å
α = 90.00°, β = 90.00°, γ = 90.00°
Space group Pm-3m (No. 221)
Asymmetric unit:
Ni  0.000  0.000  0.000
Os  0.000  0.000  0.500
N  0.500  0.500  0.500

Entry B
DFT (GGA-PBE) results for a geometry-optimized NiOs3N structure.

**Magnetization**: 0.96 μB/f.u.

a = 3.999 Å, b = 3.999 Å, c = 3.999 Å
α = 90.00°, β = 90.00°, γ = 90.00°
Space group Pm-3m (No. 221)
Asymmetric unit:
Ni  0.000  0.000  0.000
Os  0.000  0.500  0.500
N  0.500  0.500  0.500

Least stable: entry A

Entry A
DFT (GGA-PBE) results for a geometry-optimized NiTeOsN2 structure.

**Magnetization**: 0.25 μB/f.u.

a = 3.752 Å, b = 3.752 Å, c = 5.897 Å
α = 90.00°, β = 90.00°, γ = 90.00°
Space group P4/mmm (No. 123)
Asymmetric unit:
Ni  0.000  0.000  0.000
Te  0.500  0.500  0.000
Os  0.500  0.500  0.500
N  0.000  0.500  0.500

Entry B
DFT (GGA-PBE) results for a geometry-optimized NiTeOsN2 structure.

**Magnetization**: 0.00 μB/f.u.

a = 3.686 Å, b = 3.686 Å, c = 5.482 Å
α = 90.00°, β = 90.00°, γ = 90.00°
Space group P4/mmm (No. 123)
Asymmetric unit:
Ni  0.000  0.000  0.000
Te  0.000  0.000  0.500
Os  0.500  0.500  0.500
N  0.000  0.500  0.000

Least stable: entry B